*a*
Entry from Alexandria via LeMat-Bulk: MnAs2SeN after structural relaxation (PBE).

Computed properties:
Total moment (μB per cell): 0.00
D(E_F) (states/eV per cell): 3.581

a b c (Å): 4.5383 4.5383 4.4267
angles (deg): 90.00 90.00 90.00
Sites, in units of the cell vectors:
As: 0.0000 0.5000 0.0000
As: 0.5000 0.0000 0.0000
Mn: 0.0000 0.0000 0.0000
Se: 0.0000 0.0000 0.5000
N: 0.5000 0.5000 0.5000

*b*
Entry from Alexandria via LeMat-Bulk: MnAs2SeN after structural relaxation (PBE).

Computed properties:
Total moment (μB per cell): 3.61
D(E_F) (states/eV per cell): 2.790

a b c (Å): 4.3162 4.3162 4.4636
angles (deg): 90.00 90.00 90.00
Each line ends with the local moment (μB).
Sites, in units of the cell vectors:
As: 0.0000 0.5000 0.0000  -0.13
As: 0.5000 0.0000 0.0000  -0.13
Mn: 0.5000 0.5000 0.5000  3.96
Se: 0.0000 0.0000 0.5000  -0.06
N: 0.0000 0.0000 0.0000  -0.03

Which of them is least stable? Easy: *a*.

*a*
Entry from Alexandria via LeMat-Bulk: MnAsSeN2 after structural relaxation (PBE).

Computed properties:
Total moment (μB per cell): 0.00
D(E_F) (states/eV per cell): 4.130

a b c (Å): 3.6711 3.6711 5.2163
angles (deg): 90.00 90.00 90.00
Sites, in units of the cell vectors:
As: 0.5000 0.5000 0.5000
Mn: 0.0000 0.0000 0.0000
Se: 0.0000 0.0000 0.5000
N: 0.0000 0.5000 0.0000
N: 0.5000 0.0000 0.0000

*b*
Entry from Alexandria via LeMat-Bulk: MnAsSeN2 after structural relaxation (PBE).

Computed properties:
Total moment (μB per cell): 5.47
D(E_F) (states/eV per cell): 1.256

a b c (Å): 3.6855 3.6855 6.2767
angles (deg): 90.00 90.00 90.00
Each line ends with the local moment (μB).
Sites, in units of the cell vectors:
As: 0.0000 0.0000 0.0000  0.00
Mn: 0.5000 0.5000 0.5000  4.29
Se: 0.0000 0.0000 0.5000  0.06
N: 0.0000 0.5000 0.0000  0.27
N: 0.5000 0.0000 0.0000  0.27

Which of them is least stable? Easy: *b*.

*a*
Entry from Alexandria via LeMat-Bulk: Na2MnAs2 after structural relaxation (PBE).

Computed properties:
Total moment (μB per cell): 1.60
D(E_F) (states/eV per cell): 5.941

a b c (Å): 5.7188 6.4187 7.5172
angles (deg): 115.27 112.36 90.00
Each line ends with the local moment (μB).
Sites, in units of the cell vectors:
Na: 0.1477 0.9730 0.2954  0.00
Na: 0.8523 0.0270 0.7046  0.00
Na: 0.3523 0.6776 0.7046  0.00
Na: 0.6477 0.3224 0.2954  0.00
Mn: 0.2500 0.5000 0.0000  0.90
Mn: 0.7500 0.5000 0.0000  0.90
As: 0.6049 0.8026 0.2097  -0.05
As: 0.3951 0.1974 0.7903  -0.05
As: 0.8951 0.5929 0.7903  -0.05
As: 0.1049 0.4071 0.2097  -0.05

*b*
Entry from Alexandria via LeMat-Bulk: Na2MnAs2 after structural relaxation (PBE).

Computed properties:
Total moment (μB per cell): 5.91
D(E_F) (states/eV per cell): 7.233

a b c (Å): 6.4330 6.4330 4.9195
angles (deg): 90.00 90.00 90.00
Each line ends with the local moment (μB).
Sites, in units of the cell vectors:
Na: 0.1706 0.6706 0.5000  0.00
Na: 0.6706 0.8294 0.5000  0.00
Na: 0.8294 0.3294 0.5000  0.00
Na: 0.3294 0.1706 0.5000  0.00
As: 0.3561 0.8561 0.0000  -0.07
As: 0.8561 0.6439 0.0000  -0.07
As: 0.6439 0.1439 0.0000  -0.07
As: 0.1439 0.3561 0.0000  -0.07
Mn: 0.0000 0.0000 0.0000  2.94
Mn: 0.5000 0.5000 0.0000  2.94

Which of them is least stable? Easy: *b*.

*a*
Entry from Alexandria via LeMat-Bulk: NaMnAs2Rh after structural relaxation (PBE).

Computed properties:
Total moment (μB per cell): 2.04
D(E_F) (states/eV per cell): 4.468

a b c (Å): 4.5214 4.8058 4.5214
angles (deg): 90.00 90.00 90.00
Each line ends with the local moment (μB).
Sites, in units of the cell vectors:
Na: 0.0000 0.5000 0.0000  0.01
As: 0.0000 0.0000 0.5000  -0.03
As: 0.5000 0.0000 0.0000  -0.10
Mn: 0.0000 0.0000 0.0000  2.14
Rh: 0.5000 0.5000 0.5000  -0.07

*b*
Entry from Alexandria via LeMat-Bulk: NaMnAs2Rh after structural relaxation (PBE).

Computed properties:
Total moment (μB per cell): 1.79
D(E_F) (states/eV per cell): 1.995

a b c (Å): 3.9434 3.9434 6.7716
angles (deg): 106.93 106.93 90.00
Each line ends with the local moment (μB).
Sites, in units of the cell vectors:
Na: 0.0000 0.0000 0.0000  0.00
Mn: 0.7500 0.2500 0.5000  2.41
As: 0.6333 0.6333 0.2666  -0.11
As: 0.3667 0.3667 0.7334  -0.11
Rh: 0.2500 0.7500 0.5000  -0.27

Which of them is least stable? Easy: *a*.